[1]
BaSnBr2: optimized geometry, GGA-PBE.

Output
formation energy from raw total energies = -0.963 eV per atom
N(E_F) = 11.83 states/eV/cell
energy above the lowest structure with this stoichiometry = 0 meV per atom
size of the total moment = 0.000 μB/atom
total DFT energy (no corrections) = -13.1 eV/f.u.

CIF file:
```
data_BaSnBr2
_space_group_name_H-M_alt 'I -4 2 d'
_space_group_IT_number 122
_space_group_name_Hall 'I -4 2bw'
_cell_length_a 5.5042
_cell_length_b 5.5042
_cell_length_c 20.5761
_cell_angle_alpha 90.00
_cell_angle_beta 90.00
_cell_angle_gamma 90.00
loop_
_atom_site_label
_atom_site_type_symbol
_atom_site_fract_x
_atom_site_fract_y
_atom_site_fract_z
_atom_site_occupancy
Ba1 Ba 0.0000 0.0000 0.0000 1
Sn1 Sn 0.0000 0.0000 0.5000 1
Br1 Br 0.2305 0.2500 0.6250 1
```

***

[2]
MnCo2PtSe6: optimized geometry, GGA-PBE.

Output
formation energy from raw total energies = -0.252 eV per atom
N(E_F) = 25.32 states/eV/cell
size of the total moment = 0.247 μB/atom
total DFT energy (no corrections) = -52.8 eV/f.u.

CIF file:
```
data_MnCo2PtSe6
_space_group_name_H-M_alt 'C 1 2/c 1'
_space_group_IT_number 15
_cell_length_a 10.6360
_cell_length_b 11.8544
_cell_length_c 6.3249
_cell_angle_alpha 90.00
_cell_angle_beta 109.86
_cell_angle_gamma 90.00
loop_
_space_group_symop_operation_xyz
'x,y,z'
'-x,-y,-z'
'-x,y,-z+1/2'
'x,-y,z+1/2'
'x+1/2,y+1/2,z'
'-x+1/2,-y+1/2,-z'
'-x+1/2,y+1/2,-z+1/2'
'x+1/2,-y+1/2,z+1/2'
loop_
_atom_site_label
_atom_site_type_symbol
_atom_site_fract_x
_atom_site_fract_y
_atom_site_fract_z
_atom_site_occupancy
Mn1 Mn 0.0000 0.0821 0.2500 1
Co1 Co 0.1193 0.4130 0.2274 1
Pt1 Pt 0.0000 0.2269 0.7500 1
Se1 Se 0.0904 0.4019 0.5739 1
Se2 Se 0.1424 0.0698 0.6570 1
Se3 Se 0.1430 0.2222 0.1562 1
```

***

[3]
PrAg2GeSe4: optimized geometry, GGA-PBE.

Output
formation energy from raw total energies = -0.603 eV per atom
N(E_F) = 15.14 states/eV/cell
size of the total moment = 0.000 μB/atom
total DFT energy (no corrections) = -33.9 eV/f.u.

CIF file:
```
data_PrAg2GeSe4
_space_group_name_H-M_alt 'I m m a'
_space_group_IT_number 74
_space_group_name_Hall '-I 2b 2'
_cell_length_a 7.9111
_cell_length_b 8.4150
_cell_length_c 11.5466
_cell_angle_alpha 90.00
_cell_angle_beta 90.00
_cell_angle_gamma 90.00
loop_
_atom_site_label
_atom_site_type_symbol
_atom_site_fract_x
_atom_site_fract_y
_atom_site_fract_z
_atom_site_occupancy
Pr1 Pr 0.0000 0.0000 0.0000 1
Ag1 Ag 0.0000 0.0000 0.5000 1
Ag2 Ag 0.2500 0.2500 0.2500 1
Ge1 Ge 0.2500 0.2500 0.7500 1
Se1 Se 0.0000 0.0128 0.7433 1
Se2 Se 0.2392 0.2500 0.5058 1
```

***

[4]
MnCuTe2: optimized geometry, GGA-PBE.

Output
formation energy from raw total energies = 0.267 eV per atom
N(E_F) = 2.51 states/eV/cell
size of the total moment = 1.104 μB/atom
total DFT energy (no corrections) = -18.5 eV/f.u.

CIF file:
```
data_MnCuTe2
_space_group_name_H-M_alt 'P m m m'
_space_group_IT_number 47
_cell_length_a 3.7241
_cell_length_b 3.9315
_cell_length_c 6.8261
_cell_angle_alpha 90.00
_cell_angle_beta 90.00
_cell_angle_gamma 90.00
loop_
_space_group_symop_operation_xyz
'x,y,z'
'-x,-y,-z'
'-x,-y,z'
'x,y,-z'
'x,-y,-z'
'-x,y,z'
'-x,y,-z'
'x,-y,z'
loop_
_atom_site_label
_atom_site_type_symbol
_atom_site_fract_x
_atom_site_fract_y
_atom_site_fract_z
_atom_site_occupancy
Mn1 Mn 0.0000 0.0000 0.0000 1
Cu1 Cu 0.0000 0.5000 0.5000 1
Te1 Te 0.5000 0.0000 0.5000 1
Te2 Te 0.5000 0.5000 0.0000 1
```

***

[5]
TlBi2Ir2: optimized geometry, GGA-PBE.

Output
N(E_F) = 3.66 states/eV/cell
energy above the lowest structure with this stoichiometry = 0 meV per atom
size of the total moment = 0.000 μB/atom
total DFT energy (no corrections) = -26.9 eV/f.u.
energy relative to the elements = 0.19 eV per atom

CIF file:
```
data_TlBi2Ir2
_space_group_name_H-M_alt 'I 4/m m m'
_space_group_IT_number 139
_space_group_name_Hall '-I 4 2'
_cell_length_a 4.2145
_cell_length_b 4.2145
_cell_length_c 14.7837
_cell_angle_alpha 90.00
_cell_angle_beta 90.00
_cell_angle_gamma 90.00
loop_
_atom_site_label
_atom_site_type_symbol
_atom_site_fract_x
_atom_site_fract_y
_atom_site_fract_z
_atom_site_occupancy
Tl1 Tl 0.0000 0.0000 0.0000 1
Bi1 Bi 0.0000 0.0000 0.3656 1
Ir1 Ir 0.0000 0.5000 0.2500 1
```

***

[6]
Pa2TiP3Ir4: optimized geometry, GGA-PBE.

Output
N(E_F) = 7.33 states/eV/cell
size of the total moment = 0.087 μB/atom
total DFT energy (no corrections) = -87.6 eV/f.u.
energy relative to the elements = -0.91 eV per atom

CIF file:
```
data_Pa2TiP3Ir4
_space_group_name_H-M_alt 'P -4 m 2'
_space_group_IT_number 115
_cell_length_a 3.9953
_cell_length_b 3.9953
_cell_length_c 10.5361
_cell_angle_alpha 90.00
_cell_angle_beta 90.00
_cell_angle_gamma 90.00
loop_
_space_group_symop_operation_xyz
'x,y,z'
'y,-x,-z'
'-x,-y,z'
'-y,x,-z'
'-x,y,z'
'-y,-x,-z'
'x,-y,z'
'y,x,-z'
loop_
_atom_site_label
_atom_site_type_symbol
_atom_site_fract_x
_atom_site_fract_y
_atom_site_fract_z
_atom_site_occupancy
Pa1 Pa 0.0000 0.5000 0.2394 1
Ti1 Ti 0.0000 0.0000 0.5000 1
P1 P 0.0000 0.5000 0.8659 1
P2 P 0.5000 0.5000 0.5000 1
Ir1 Ir 0.0000 0.0000 0.0000 1
Ir2 Ir 0.0000 0.5000 0.6450 1
Ir3 Ir 0.5000 0.5000 0.0000 1
```

***

[7]
Sm2TmSc2In5: optimized geometry, GGA-PBE.

Output
N(E_F) = 13.95 states/eV/cell
size of the total moment = 0.000 μB/atom
total DFT energy (no corrections) = -43.7 eV/f.u.
energy relative to the elements = -0.35 eV per atom

CIF file:
```
data_Sm2TmSc2In5
_space_group_name_H-M_alt 'P 4/m b m'
_space_group_IT_number 127
_space_group_name_Hall '-P 4 2ab'
_cell_length_a 10.5791
_cell_length_b 10.5791
_cell_length_c 4.6487
_cell_angle_alpha 90.00
_cell_angle_beta 90.00
_cell_angle_gamma 90.00
loop_
_atom_site_label
_atom_site_type_symbol
_atom_site_fract_x
_atom_site_fract_y
_atom_site_fract_z
_atom_site_occupancy
Sm1 Sm 0.1789 0.3211 0.0000 1
Tm1 Tm 0.0000 0.0000 0.0000 1
Sc1 Sc 0.1190 0.6190 0.0000 1
In1 In 0.0000 0.5000 0.5000 1
In2 In 0.0637 0.7987 0.5000 1
```